A relaxed structure of Sc7Te2Rh2. Source: Alexandria via LeMat-Bulk, functional PBE-GGA.

## Properties
Magnetic moment ... 0.00 μB per formula unit
Uncorrected formation energy ... -0.83 eV/atom

Cell lengths 3.742, 14.692, 8.855 Å; angles 90.00, 90.00, 90.00 degrees
Space group Imm2 (No. 44)
Asymmetric unit:
Sc 0.000 0.000 0.000 x2
Sc 0.000 0.131 0.585 x4
Sc 0.000 0.317 0.371 x4
Sc 0.000 0.352 0.737 x4
Te 0.000 0.000 0.335 x2
Te 0.000 0.500 0.236 x2
Rh 0.000 0.237 0.064 x4

A relaxed structure of OsAuC2. Source: Alexandria via LeMat-Bulk, functional PBE-GGA.

## Properties
DFT formation energy ... 101.6 kJ/mol of atoms
Magnetic moment ... 0.00 μB per formula unit
Relative energy among the computed polymorphs ... 0 meV per atom

Cell lengths 4.840, 4.840, 9.365 Å; angles 90.00, 90.00, 90.00 degrees
Space group I-42d (No. 122)
Asymmetric unit:
Os 0.000 0.000 0.000 x4
Au 0.000 0.000 0.500 x4
C 0.200 0.250 0.125 x8

A relaxed structure of Sr2HoPdO5. Source: Alexandria via LeMat-Bulk, functional PBE-GGA.

## Properties
Magnetic moment ... 1.03 μB per formula unit
Uncorrected formation energy ... -2.00 eV/atom

Cell lengths 6.489, 6.489, 6.086 Å; angles 90.00, 90.00, 90.00 degrees
Space group P4/mbm (No. 127)
Asymmetric unit:
Sr 0.163 0.337 0.000 x4
Ho 0.000 0.000 0.500 x2
Pd 0.000 0.500 0.500 x2
O 0.000 0.000 0.000 x2
O 0.164 0.664 0.289 x8